HfCd2ReIr | Alexandria via LeMat-Bulk | PBE | optimized geometry; space-group type = P4/mmm (123); calculated total energy = -5.425 eV/atom; DFT formation energy = 1.1933 eV per atom
1.0
4.9760 0.0000 0.0000
0.0000 4.9760 0.0000
0.0000 0.0000 4.7980
Hf Cd Re Ir
1 2 1 1
Cartesian
0.0000 0.0000 0.0000
0.0000 2.4880 2.3990
2.4880 0.0000 2.3990
2.4880 2.4880 0.0000
2.4880 2.4880 2.3990

---

Hf2CdIrSe | Alexandria via LeMat-Bulk | PBE | optimized geometry; space-group type = P4/mmm (123); E_form (uncorrected) = 1.33 eV/atom; calculated total energy = -5.307 eV/atom
1.0
5.1661 0.0000 0.0000
0.0000 5.1661 0.0000
0.0000 0.0000 4.8106
Hf Cd Ir Se
2 1 1 1
Cartesian
0.0000 2.5831 0.0000
2.5831 0.0000 0.0000
0.0000 0.0000 0.0000
0.0000 0.0000 2.4053
2.5831 2.5831 2.4053

---

HfCdSiIr2 | Alexandria via LeMat-Bulk | PBE | optimized geometry; space-group type = P4/mmm (123); E_form (uncorrected) = 1.90 eV/atom; calculated total energy = -4.902 eV/atom
1.0
4.8264 0.0000 0.0000
0.0000 4.8264 0.0000
0.0000 0.0000 5.0488
Hf Cd Si Ir
1 1 1 2
Cartesian
0.0000 0.0000 0.0000
0.0000 0.0000 2.5244
2.4132 2.4132 0.0000
0.0000 2.4132 2.5244
2.4132 0.0000 2.5244

---

HfCdTcIr2 | Alexandria via LeMat-Bulk | PBE | optimized geometry; space-group type = P4/mmm (123); calculated total energy = -5.992 eV/atom; DFT formation energy = 1.7990 eV per atom
1.0
4.7526 0.0000 0.0000
0.0000 4.7526 0.0000
0.0000 0.0000 4.7535
Hf Cd Tc Ir
1 1 1 2
Cartesian
0.0000 0.0000 0.0000
2.3763 2.3763 2.3768
2.3763 2.3763 0.0000
0.0000 2.3763 2.3768
2.3763 0.0000 2.3768